1.
# Li7Ti16O32 (GGA-PBEsol, relaxed)
# Formation energy without anion corrections (eV/atom): -2.870
# Polymorph energy (0 for the lowest one) (meV/atom): 26
# Magnetic moment (μB per cell): 13.495
data_Li7Ti16O32
_symmetry_space_group_name_H-M 'C 1 m 1'
_symmetry_Int_Tables_number 8
_cell_length_a 19.261
_cell_length_b 11.691
_cell_length_c 5.032
_cell_angle_alpha 90.00
_cell_angle_beta 90.12
_cell_angle_gamma 90.00
loop_
_symmetry_equiv_pos_as_xyz
'x,y,z'
'x,-y,z'
'x+1/2,y+1/2,z'
'x+1/2,-y+1/2,z'
loop_
_atom_site_label
_atom_site_fract_x
_atom_site_fract_y
_atom_site_fract_z
Li1 0.000 0.000 0.000
Li2 0.215 0.124 0.511
Li3 0.219 0.373 0.511
Li4 0.465 0.131 0.138
Ti1 0.051 0.130 0.543
Ti2 0.054 0.379 0.564
Ti3 0.162 0.000 0.044
Ti4 0.162 0.251 0.052
Ti5 0.164 0.500 0.060
Ti6 0.303 0.126 0.095
Ti7 0.305 0.377 0.081
Ti8 0.412 0.000 0.599
Ti9 0.412 0.500 0.570
Ti10 0.414 0.256 0.600
O1 0.002 0.253 0.371
O2 0.002 0.500 0.361
O3 0.003 0.000 0.367
O4 0.090 0.000 0.780
O5 0.095 0.248 0.770
O6 0.095 0.500 0.784
O7 0.127 0.123 0.284
O8 0.128 0.374 0.293
O9 0.216 0.124 0.877
O10 0.217 0.374 0.877
O11 0.251 0.248 0.284
O12 0.252 0.000 0.286
O13 0.252 0.500 0.284
O14 0.344 0.000 0.877
O15 0.345 0.246 0.876
O16 0.346 0.500 0.867
O17 0.372 0.371 0.371
O18 0.377 0.124 0.365
O19 0.465 0.123 0.771
O20 0.466 0.378 0.770

2.
# LiTi2O4 (GGA-PBEsol, relaxed)
# Formation energy without anion corrections (eV/atom): -2.814
# Polymorph energy (0 for the lowest one) (meV/atom): 72
# Magnetic moment (μB per cell): 0.004
data_LiTi2O4
_symmetry_space_group_name_H-M 'I m m a'
_symmetry_Int_Tables_number 74
_symmetry_space_group_name_Hall '-I 2b 2'
_cell_length_a 5.860
_cell_length_b 5.930
_cell_length_c 8.304
_cell_angle_alpha 90.00
_cell_angle_beta 90.00
_cell_angle_gamma 90.00
loop_
_atom_site_label
_atom_site_fract_x
_atom_site_fract_y
_atom_site_fract_z
Li1 0.250 0.250 0.250
Ti1 0.000 0.000 0.000
Ti2 0.250 0.250 0.750
O1 0.000 0.016 0.762
O2 0.223 0.250 0.990

3.
# LiTi2O4 (GGA-PBEsol, relaxed)
# Formation energy without anion corrections (eV/atom): -2.856
# Polymorph energy (0 for the lowest one) (meV/atom): 30
# Magnetic moment (μB per cell): 0.015
data_LiTi2O4
_symmetry_space_group_name_H-M 'P m n a'
_symmetry_Int_Tables_number 53
_cell_length_a 3.848
_cell_length_b 8.119
_cell_length_c 8.781
_cell_angle_alpha 90.00
_cell_angle_beta 90.00
_cell_angle_gamma 90.00
loop_
_symmetry_equiv_pos_as_xyz
'x,y,z'
'-x,-y,-z'
'-x+1/2,-y,z+1/2'
'x+1/2,y,-z+1/2'
'x,-y,-z'
'-x,y,z'
'-x+1/2,y,-z+1/2'
'x+1/2,-y,z+1/2'
loop_
_atom_site_label
_atom_site_fract_x
_atom_site_fract_y
_atom_site_fract_z
Li1 0.000 0.125 0.147
Ti1 0.000 0.146 0.615
Ti2 0.000 0.388 0.384
O1 0.000 0.119 0.852
O2 0.000 0.123 0.394
O3 0.000 0.367 0.150
O4 0.000 0.376 0.611

4.
# LiTi2O4 (GGA-PBEsol, relaxed)
# Formation energy without anion corrections (eV/atom): -2.789
# Polymorph energy (0 for the lowest one) (meV/atom): 97
# Magnetic moment (μB per cell): 1.814
data_LiTi2O4
_symmetry_space_group_name_H-M 'P 1 21/m 1'
_symmetry_Int_Tables_number 11
_cell_length_a 5.070
_cell_length_b 5.897
_cell_length_c 5.243
_cell_angle_alpha 90.00
_cell_angle_beta 91.20
_cell_angle_gamma 90.00
loop_
_symmetry_equiv_pos_as_xyz
'x,y,z'
'-x,-y,-z'
'-x,y+1/2,-z'
'x,-y+1/2,z'
loop_
_atom_site_label
_atom_site_fract_x
_atom_site_fract_y
_atom_site_fract_z
Li1 0.198 0.250 0.439
Ti1 0.000 0.000 0.000
Ti2 0.481 0.750 0.013
O1 0.151 0.750 0.796
O2 0.162 0.250 0.798
O3 0.339 0.011 0.201